# NaCaPbCl5

An optimized crystal structure of NaCaPbCl5 (GGA-PBE, Alexandria).

Cell: 8.8482 12.5029 9.8579 Å, 90.00 114.77 90.00°
With the nearest neighbours (Å) after each atom.
Space group C2/c (No. 15)
Symmetry-distinct sites (fractional):
Na1 0.0000 0.1799 0.2500 [4 per cell]  4 Cl 2.60-2.63
Ca1 0.0000 0.5000 0.0000 [4 per cell]  6 Cl 2.73-2.82
Pb1 0.0000 0.1394 0.7500 [4 per cell]  5 Cl 2.89-3.14
Cl1 0.0000 0.3906 0.7500 [4 per cell]  2 Ca 2.82, 1 Pb 3.14
Cl2 0.1478 0.3171 0.1477 [8 per cell]  1 Na 2.60, 1 Ca 2.73, 1 Pb 2.90
Cl3 0.1682 0.0347 0.4492 [8 per cell]  1 Na 2.63, 1 Ca 2.80, 1 Pb 2.89

Values from the calculation:
- Total magnetic moment: 0.1 μB/cell
- Formation energy (no corrections): -39.27 kcal/mol of atoms

# Mo2Pt2Rh15

An optimized crystal structure of Mo2Pt2Rh15 (GGA-PBE, Alexandria).

Cell: 8.7340 8.7340 13.5493 Å, 90.00 90.00 120.00°
With the nearest neighbours (Å) after each atom.
Space group R-3m (No. 166, hexagonal axes)
Symmetry-distinct sites (fractional):
Mo1 0.0000 0.0000 0.0906 [6 per cell]  1 Mo 2.46, 3 Rh 2.72
Pt1 0.0000 0.0000 0.2953 [6 per cell]  1 Mo 2.77, 12 Rh 3.00-3.07
Rh1 0.0000 0.3191 0.0000 [18 per cell]  8 Rh 2.65-2.79
Rh2 0.0002 0.5001 0.1575 [18 per cell]  8 Rh 2.53-2.76, 1 Mo 2.77
Rh3 0.0000 0.5000 0.5000 [9 per cell]  8 Rh 2.53-2.66, 2 Mo 2.72

Values from the calculation:
- Total magnetic moment: 0.0 μB/cell
- Total energy: -7.2935 eV/atom